(1)
Density functional theory data (PBE) for a relaxed SeS2Br2 crystal.

a b c (Å): 7.3820 7.3820 4.6821
angles (deg): 90.00 90.00 90.00
With the nearest neighbours (Å) after each atom.
Space group P4/mbm (No. 127)
Asymmetric unit:
Se1 0.0000 0.0000 0.0000 [2 per cell]  4 S 2.61
S1 0.2461 0.2539 0.0000 [4 per cell]  2 Br 2.46, 2 Se 2.61
Br1 0.1729 0.3271 0.5000 [4 per cell]  2 S 2.46

Properties
Spin magnetization ... 0.0 μB/f.u.
Energy relative to the elements, uncorrected ... 34.1 kJ/mol of atoms
Calculated total energy ... -2.66 eV/atom

(2)
Density functional theory data (PBE) for a relaxed Tb2ScPd3 crystal.

a b c (Å): 4.8949 14.9666 3.3794
angles (deg): 90.00 90.00 90.00
With the nearest neighbours (Å) after each atom.
Space group Cmmm (No. 65)
Asymmetric unit:
Tb1 0.0000 0.1655 0.0000 [4 per cell]  8 Pd 2.98-3.23
Sc1 0.0000 0.5000 0.0000 [2 per cell]  8 Pd 2.82-2.97
Pd1 0.0000 0.0000 0.5000 [2 per cell]  4 Sc 2.97, 4 Tb 3.00, 4 Pd 3.33
Pd2 0.0000 0.3495 0.5000 [4 per cell]  2 Sc 2.82, 4 Tb 2.98

Properties
Spin magnetization ... 0.0 μB/f.u.
Formation energy from the elements ... -0.87 eV/atom
Calculated total energy ... -6.06 eV/atom

(3)
Density functional theory data (PBE) for a relaxed CaHo2ReO8 crystal.

a b c (Å): 7.0165 7.1114 6.9232
angles (deg): 90.00 90.00 90.00
With the nearest neighbours (Å) after each atom.
Space group Cmmm (No. 65)
Asymmetric unit:
Ca1 0.0000 0.0000 0.0000 [2 per cell]  6 O 2.22-2.47
Ho1 0.0000 0.5000 0.2523 [4 per cell]  6 O 2.17-2.34
Re1 0.0000 0.0000 0.5000 [2 per cell]  6 O 1.89-1.92
O1 0.0000 0.1837 0.3030 [8 per cell]  1 Re 1.89
O2 0.1836 0.5000 0.0000 [4 per cell]  2 Ho 2.17, 1 Ca 2.22
O3 0.2258 0.5000 0.5000 [4 per cell]  1 Re 1.92

Properties
Spin magnetization ... 0.9 μB/f.u.
Energy relative to the elements, uncorrected ... -242.1 kJ/mol of atoms
Calculated total energy ... -7.78 eV/atom

(4)
Density functional theory data (PBE) for a relaxed Sm5Tl2Pb crystal.

a b c (Å): 8.6477 8.6477 13.2444
angles (deg): 90.00 90.00 90.00
With the nearest neighbours (Å) after each atom.
Space group I4/mcm (No. 140)
Asymmetric unit:
Sm1 0.0000 0.0000 0.0000 [4 per cell]  2 Pb 3.31, 4 Tl 3.32
Sm2 0.1555 0.3445 0.1503 [16 per cell]  3 Tl 3.16-3.27, 1 Sm 3.51, 2 Pb 3.53
Tl1 0.1437 0.3563 0.5000 [8 per cell]  8 Sm 3.16-3.32, 1 Tl 3.51
Pb1 0.0000 0.0000 0.2500 [4 per cell]  10 Sm 3.31-3.53

Properties
Spin magnetization ... 0.0 μB/f.u.
Formation energy from the elements ... -0.37 eV/atom
Calculated total energy ... -4.37 eV/atom

(5)
Density functional theory data (PBE) for a relaxed NdDy4Hg3 crystal.

a b c (Å): 5.2558 5.2558 27.9123
angles (deg): 90.00 90.00 120.00
With the nearest neighbours (Å) after each atom.
Space group R-3m (No. 166, hexagonal axes)
Asymmetric unit:
Nd1 0.0000 0.0000 0.0000 [3 per cell]  8 Dy 3.45-3.65, 6 Hg 3.58
Dy1 0.0000 0.0000 0.1307 [6 per cell]  6 Hg 3.20-3.50
Dy2 0.0000 0.0000 0.3919 [6 per cell]  4 Hg 3.02-3.05
Hg1 0.0000 0.0000 0.2651 [6 per cell]  3 Dy 3.05
Hg2 0.0000 0.0000 0.5000 [3 per cell]  8 Dy 3.02-3.20

Properties
Spin magnetization ... 0.7 μB/f.u.
Formation energy from the elements ... -0.29 eV/atom
Calculated total energy ... -3.30 eV/atom

(6)
Density functional theory data (PBE) for a relaxed KCu2BiF8 crystal.

a b c (Å): 5.7401 5.7401 10.8276
angles (deg): 90.00 90.00 90.00
With the nearest neighbours (Å) after each atom.
Space group I-4 (No. 82)
Asymmetric unit:
K1 0.0000 0.0000 0.0000 [2 per cell]  8 F 2.64-2.74
Cu1 0.0000 0.0000 0.5000 [2 per cell]  4 F 1.92
Cu2 0.0000 0.5000 0.2500 [2 per cell]  4 F 1.92
Bi1 0.0000 0.5000 0.7500 [2 per cell]  8 F 2.35-2.42
F1 0.1057 0.2944 0.5631 [8 per cell]  1 Cu 1.92
F2 0.1704 0.7732 0.2033 [8 per cell]  1 Cu 1.92

Properties
Spin magnetization ... 2.0 μB/f.u.
Energy relative to the elements, uncorrected ... -194.6 kJ/mol of atoms
Calculated total energy ... -4.36 eV/atom

(7)
Density functional theory data (PBE) for a relaxed Hf2Ti2V15 crystal.

a b c (Å): 9.0158 9.0158 12.2728
angles (deg): 90.00 90.00 120.00
With the nearest neighbours (Å) after each atom.
Space group R-3m (No. 166, hexagonal axes)
Asymmetric unit:
Hf1 0.0000 0.0000 0.1570 [6 per cell]  1 Ti 2.96, 12 V 3.05-3.29
Ti1 0.0000 0.0000 0.3981 [6 per cell]  1 Ti 2.50, 3 V 2.72
V1 0.0000 0.3110 0.5000 [18 per cell]  6 V 2.49-2.66
V2 0.0000 0.5000 0.0000 [9 per cell]  8 V 2.49-2.66, 2 Ti 2.72
V3 0.0114 0.5057 0.6507 [18 per cell]  8 V 2.52-2.66

Properties
Spin magnetization ... 0.6 μB/f.u.
Formation energy from the elements ... 0.11 eV/atom
Calculated total energy ... -8.96 eV/atom

(8)
Density functional theory data (PBE) for a relaxed ZrMnPt2 crystal.

a b c (Å): 6.4173 6.4173 6.4173
angles (deg): 90.00 90.00 90.00
With the nearest neighbours (Å) after each atom.
Space group F-43m (No. 216)
Asymmetric unit:
Zr1 0.0000 0.0000 0.0000 [4 per cell]  4 Mn 2.78, 4 Pt 2.78
Mn1 0.2500 0.2500 0.7500 [4 per cell]  4 Zr 2.78, 4 Pt 2.78
Pt1 0.0000 0.0000 0.5000 [4 per cell]  4 Pt 2.78, 4 Mn 2.78
Pt2 0.2500 0.2500 0.2500 [4 per cell]  4 Zr 2.78, 4 Pt 2.78

Properties
Spin magnetization ... 3.1 μB/f.u.
Formation energy from the elements ... -0.56 eV/atom
Calculated total energy ... -8.01 eV/atom